A plane-wave DFT calculation with GGA-PBEsol was carried out for a geometry-optimized CdAgCl2 structure.

Cell: 3.782 3.898 5.937 Å, 90.00 90.00 90.00°
Space group Pmmm (No. 47)
Inequivalent atoms, fractional coordinates:
Cd1 0.000 0.000 0.000 (multiplicity 1)
Ag1 0.000 0.500 0.500 (multiplicity 1)
Cl1 0.500 0.000 0.500 (multiplicity 1)
Cl2 0.500 0.500 0.000 (multiplicity 1)

Results
**Energy above the most stable polymorph in this dataset**: 0.0923 eV/atom
**ΔE_f (raw)**: -0.287 eV/atom

A plane-wave DFT calculation with GGA-PBEsol was carried out for a geometry-optimized CdIn2AgCl structure.

Cell: 5.591 5.591 4.783 Å, 90.00 90.00 90.00°
Space group P4/mmm (No. 123)
Inequivalent atoms, fractional coordinates:
Cd1 0.000 0.000 0.000 (multiplicity 1)
In1 0.000 0.500 0.500 (multiplicity 2)
Ag1 0.500 0.500 0.000 (multiplicity 1)
Cl1 0.500 0.500 0.500 (multiplicity 1)

Results
**ΔE_f (raw)**: 0.366 eV/atom

A plane-wave DFT calculation with GGA-PBEsol was carried out for a geometry-optimized CdAgPCl2 structure.

Cell: 5.075 5.075 5.058 Å, 90.00 90.00 90.00°
Space group P4/mmm (No. 123)
Inequivalent atoms, fractional coordinates:
Cd1 0.000 0.000 0.000 (multiplicity 1)
Ag1 0.500 0.500 0.500 (multiplicity 1)
P1 0.000 0.000 0.500 (multiplicity 1)
Cl1 0.000 0.500 0.000 (multiplicity 2)

Results
**ΔE_f (raw)**: 0.379 eV/atom

A plane-wave DFT calculation with GGA-PBEsol was carried out for a geometry-optimized CdAgS2Cl structure.

Cell: 4.797 4.797 4.758 Å, 90.00 90.00 90.00°
Space group P4/mmm (No. 123)
Inequivalent atoms, fractional coordinates:
Cd1 0.000 0.000 0.000 (multiplicity 1)
Ag1 0.500 0.500 0.500 (multiplicity 1)
S1 0.000 0.500 0.500 (multiplicity 2)
Cl1 0.500 0.500 0.000 (multiplicity 1)

Results
**Energy above the most stable polymorph in this dataset**: 0.0000 eV/atom
**ΔE_f (raw)**: 0.301 eV/atom

A plane-wave DFT calculation with GGA-PBEsol was carried out for a geometry-optimized CdAgS2Cl structure.

Cell: 4.869 4.869 5.146 Å, 90.00 90.00 90.00°
Space group P4/mmm (No. 123)
Inequivalent atoms, fractional coordinates:
Cd1 0.000 0.000 0.000 (multiplicity 1)
Ag1 0.500 0.500 0.500 (multiplicity 1)
S1 0.000 0.500 0.000 (multiplicity 2)
Cl1 0.000 0.000 0.500 (multiplicity 1)

Results
**Energy above the most stable polymorph in this dataset**: 0.1584 eV/atom
**ΔE_f (raw)**: 0.459 eV/atom

A plane-wave DFT calculation with GGA-PBEsol was carried out for a geometry-optimized CdCoAg structure.

Cell: 2.809 2.809 11.658 Å, 90.00 90.00 90.00°
Space group I4mm (No. 107)
Inequivalent atoms, fractional coordinates:
Cd1 0.000 0.000 0.000 (multiplicity 2)
Co1 0.000 0.000 0.659 (multiplicity 2)
Ag1 0.000 0.000 0.312 (multiplicity 2)

Results
**Energy of formation from the pure elements**: 0.291 eV per atom

A plane-wave DFT calculation with GGA-PBEsol was carried out for a geometry-optimized CdCo2Ag2 structure.

Cell: 3.773 3.773 11.297 Å, 90.00 90.00 90.00°
Space group I4/mmm (No. 139)
Inequivalent atoms, fractional coordinates:
Cd1 0.000 0.000 0.000 (multiplicity 2)
Co1 0.000 0.000 0.407 (multiplicity 4)
Ag1 0.000 0.500 0.250 (multiplicity 4)

Results
**Energy of formation from the pure elements**: 0.585 eV per atom

A plane-wave DFT calculation with GGA-PBEsol was carried out for a geometry-optimized Cd4CoAg structure.

Cell: 7.689 7.689 7.689 Å, 90.00 90.00 90.00°
Space group F-43m (No. 216)
Inequivalent atoms, fractional coordinates:
Cd1 0.125 0.125 0.125 (multiplicity 16)
Co1 0.000 0.000 0.500 (multiplicity 4)
Ag1 0.250 0.250 0.750 (multiplicity 4)

Results
**Energy of formation from the pure elements**: 0.471 eV per atom

The V results, record by record, are as follows: 21.88 29.90 26.05 21.90 24.40 15.34 16.08 18.94 Å³/atom.
The DOS(E_F) results, record by record, are as follows: 0.245 0.743 0.306 0.522 1.420 1.208 1.028 1.230 states/eV/atom.